[1]
## PrYO4 (PBE-GGA)

Data for a relaxed PrYO4 crystal.

total magnetization = 0.000 μB/atom
E_tot = -48.2 eV/cell
V = 82.4 Å³ per cell

```
PrYO4
1.0
3.373 -1.941 0.000
3.373 1.941 0.000
-0.830 0.000 6.292
O Pr Y
4 1 1
Direct
0.085 0.085 0.422
0.650 0.650 0.869
0.918 0.918 0.555
0.351 0.351 0.155
0.306 0.306 0.769
0.690 0.690 0.230
```

***

[2]
## Ba2Nd2Si4O13 (PBE-GGA)

Data for a relaxed Ba2Nd2Si4O13 crystal.

total magnetization = 0.000 μB/atom
E_tot = -328.1 eV/cell
V = 569.4 Å³ per cell

```
Ba2Nd2Si4O13
1.0
-0.102 -6.113 -2.608
-1.025 -4.002 7.890
-9.674 -2.234 -1.643
O Si Ba Nd
26 8 4 4
Direct
0.944 0.965 0.702
0.527 0.219 0.797
0.473 0.781 0.203
0.665 0.587 0.425
0.349 0.018 0.677
0.335 0.413 0.575
0.305 0.628 0.006
0.719 0.182 0.472
0.695 0.372 0.994
0.159 0.097 0.936
0.973 0.577 0.631
0.281 0.818 0.528
0.056 0.035 0.298
0.841 0.903 0.064
0.165 0.775 0.815
0.028 0.711 0.293
0.483 0.071 0.119
0.835 0.225 0.185
0.851 0.518 0.162
0.469 0.394 0.261
0.531 0.606 0.739
0.027 0.423 0.369
0.149 0.482 0.838
0.517 0.929 0.881
0.651 0.982 0.323
0.972 0.289 0.707
0.301 0.622 0.847
0.107 0.439 0.688
0.824 0.113 0.324
0.699 0.378 0.153
0.176 0.887 0.676
0.894 0.561 0.312
0.611 0.930 0.177
0.389 0.070 0.823
0.253 0.327 0.076
0.747 0.673 0.924
0.271 0.169 0.444
0.729 0.831 0.556
0.308 0.608 0.396
0.194 0.879 0.100
0.692 0.392 0.604
0.806 0.121 0.900
```